<one>
This record from the Alexandria database describes an optimized crystal structure of Sc2CuTe. The functional is PBEsol.

a b c (Å): 3.816 3.816 5.743
angles (deg): 90.00 90.00 90.00
Space group P4mm (No. 99)
One atom of each set of equivalent atoms:
Sc  0.000  0.000  0.000 x1
Sc  0.500  0.500  0.326 x1
Cu  0.500  0.500  0.861 x1
Te  0.000  0.000  0.507 x1

Properties
**Calculated density**: 5.58 g cm⁻³
**Spin magnetization**: 0.00 μB/f.u.

<two>
This record from the Alexandria database describes an optimized crystal structure of Sc2CuTe. The functional is PBEsol.

a b c (Å): 4.337 4.337 8.178
angles (deg): 90.00 90.00 90.00
Space group I4/mmm (No. 139)
One atom of each set of equivalent atoms:
Sc  0.000  0.500  0.250 x4
Cu  0.000  0.000  0.000 x2
Te  0.000  0.000  0.500 x2

Properties
**Calculated density**: 6.07 g cm⁻³
**Spin magnetization**: 1.01 μB/f.u.

Most stable structure, least stable structure: <one>, <two>.

<one>
This record from the Alexandria database describes an optimized crystal structure of ScCu2W. The functional is PBEsol.

a b c (Å): 3.753 3.753 8.255
angles (deg): 90.00 90.00 90.00
Space group I-4m2 (No. 119)
One atom of each set of equivalent atoms:
Sc  0.000  0.000  0.000 x2
Cu  0.000  0.000  0.500 x2
Cu  0.000  0.500  0.750 x2
W  0.000  0.500  0.250 x2

Properties
**Calculated density**: 10.16 g cm⁻³
**Spin magnetization**: 0.00 μB/f.u.

<two>
This record from the Alexandria database describes an optimized crystal structure of ScCu2W. The functional is PBEsol.

a b c (Å): 2.761 2.761 7.647
angles (deg): 90.00 90.00 90.00
Space group P4mm (No. 99)
One atom of each set of equivalent atoms:
Sc  0.000  0.000  0.000 x1
Cu  0.000  0.000  0.534 x1
Cu  0.500  0.500  0.736 x1
W  0.500  0.500  0.297 x1

Properties
**Calculated density**: 10.14 g cm⁻³
**Spin magnetization**: 0.00 μB/f.u.

Most stable structure, least stable structure: <two>, <one>.

<one>
This record from the Alexandria database describes an optimized crystal structure of Y2ScCu. The functional is PBEsol.

a b c (Å): 3.403 3.403 8.199
angles (deg): 90.00 90.00 90.00
Space group P4/mmm (No. 123)
One atom of each set of equivalent atoms:
Y  0.000  0.000  0.210 x2
Sc  0.500  0.500  0.500 x1
Cu  0.500  0.500  0.000 x1

Properties
**Calculated density**: 5.01 g cm⁻³
**Spin magnetization**: 0.01 μB/f.u.

<two>
This record from the Alexandria database describes an optimized crystal structure of Y2ScCu. The functional is PBEsol.

a b c (Å): 3.466 5.063 10.766
angles (deg): 90.00 90.00 90.00
Space group Imm2 (No. 44)
One atom of each set of equivalent atoms:
Y  0.000  0.000  0.000 x2
Y  0.000  0.500  0.210 x2
Sc  0.000  0.500  0.797 x2
Cu  0.000  0.000  0.487 x2

Properties
**Calculated density**: 5.03 g cm⁻³
**Spin magnetization**: 0.00 μB/f.u.

<three>
This record from the Alexandria database describes an optimized crystal structure of Y2ScCu. The functional is PBEsol.

a b c (Å): 3.4430 3.4430 28.6255
angles (deg): 90.00 90.00 120.00
Space group R-3m (No. 166, hexagonal axes)
One atom of each set of equivalent atoms:
Y  0.0000  0.0000  0.2386 x6
Sc  0.0000  0.0000  0.0000 x3
Cu  0.0000  0.0000  0.5000 x3

Properties
**Calculated density**: 4.85 g cm⁻³
**Spin magnetization**: 0.00 μB/f.u.

<four>
This record from the Alexandria database describes an optimized crystal structure of Y2ScCu. The functional is PBEsol.

a b c (Å): 5.072 5.072 3.596
angles (deg): 90.00 90.00 90.00
Space group P4/mmm (No. 123)
One atom of each set of equivalent atoms:
Y  0.000  0.500  0.000 x2
Sc  0.000  0.000  0.500 x1
Cu  0.500  0.500  0.500 x1

Properties
**Calculated density**: 5.14 g cm⁻³
**Spin magnetization**: 0.00 μB/f.u.

Most stable structure, least stable structure: <two>, <three>.

<one>
This record from the Alexandria database describes an optimized crystal structure of YSc2Cu. The functional is PBEsol.

a b c (Å): 3.289 3.289 8.113
angles (deg): 90.00 90.00 90.00
Space group P4mm (No. 99)
One atom of each set of equivalent atoms:
Y  0.000  0.000  0.000 x1
Sc  0.000  0.000  0.412 x1
Sc  0.500  0.500  0.691 x1
Cu  0.500  0.500  0.236 x1

Properties
**Calculated density**: 4.59 g cm⁻³
**Spin magnetization**: 0.00 μB/f.u.

<two>
This record from the Alexandria database describes an optimized crystal structure of YSc2Cu. The functional is PBEsol.

a b c (Å): 3.438 4.887 10.363
angles (deg): 90.00 90.00 90.00
Space group Imm2 (No. 44)
One atom of each set of equivalent atoms:
Y  0.000  0.000  0.000 x2
Sc  0.000  0.000  0.416 x2
Sc  0.000  0.500  0.211 x2
Cu  0.000  0.500  0.723 x2

Properties
**Calculated density**: 4.62 g cm⁻³
**Spin magnetization**: 0.00 μB/f.u.

Most stable structure, least stable structure: <one>, <two>.